An optimized crystal structure of SrLiUF6. Source: the Alexandria database, functional PBE.

Values from the calculation:
Spin magnetization in μB per cell: 6.0
Theoretical density in Mg/m³: 4.9
Calculated volume in Å³/cell: 300
Formation energy (no corrections) in eV per formula unit: -30.5

a = 5.738 Å, b = 5.738 Å, c = 10.531 Å
α = 90.00°, β = 90.00°, γ = 120.00°
Sites, in units of the cell vectors:
Sr (0.000, 0.000, 0.000)
Sr (0.000, 0.000, 0.500)
Li (0.333, 0.667, 0.250)
Li (0.667, 0.333, 0.750)
U (0.333, 0.667, 0.750)
U (0.667, 0.333, 0.250)
F (0.028, 0.361, 0.137)
F (0.028, 0.667, 0.363)
F (0.333, 0.361, 0.363)
F (0.333, 0.972, 0.137)
F (0.361, 0.028, 0.637)
F (0.361, 0.333, 0.863)
F (0.639, 0.667, 0.137)
F (0.639, 0.972, 0.363)
F (0.667, 0.028, 0.863)
F (0.667, 0.639, 0.637)
F (0.972, 0.333, 0.637)
F (0.972, 0.639, 0.863)